Entry 1:
PrMg9Cd2 after structural relaxation. Source: the Alexandria database, functional PBE.

Computed properties:
* volume: 570 Å³ per cell
* calculated formation energy: -1.12 eV/f.u.
* calculated total energy: -1.840 eV per atom

```
24
Lattice="-4.217 2.836 5.863 4.640 0.653 8.156 0.378 9.357 0.881" Properties=species:S:1:pos:R:3 pbc="T T T"
Pr -2.109 1.418 2.932
Pr 1.455 5.714 5.984
Mg -0.654 7.132 8.916
Mg 0.000 0.000 0.000
Mg 4.501 6.940 8.125
Mg -2.037 4.788 4.463
Mg -1.809 7.459 5.902
Mg 2.165 5.687 9.617
Mg 0.902 8.082 11.600
Mg 0.345 4.464 2.681
Mg 4.072 3.846 8.227
Mg -0.716 7.282 3.122
Mg -0.136 10.202 9.827
Mg 1.384 2.344 4.453
Mg 1.534 9.030 3.895
Mg 1.822 2.099 7.454
Mg 3.463 9.060 6.353
Mg -0.999 2.667 6.235
Mg -0.085 3.939 8.844
Mg 0.441 9.207 6.675
Cd -2.246 9.662 7.830
Cd -0.115 5.310 11.467
Cd -2.435 4.984 7.390
Cd 2.183 8.571 8.976
```


Entry 2:
BaTa2Ir after structural relaxation. Source: the Alexandria database, functional PBE.

Computed properties:
* volume: 83 Å³ per cell
* calculated formation energy: 3.47 eV/f.u.
* calculated total energy: -7.755 eV per atom

```
4
Lattice="3.135 0.000 0.000 0.000 5.289 0.000 0.000 0.000 5.013" Properties=species:S:1:pos:R:3 pbc="T T T"
Ir 0.000 2.644 2.506
Ba 1.568 0.000 2.506
Ta 0.000 0.000 0.000
Ta 1.568 2.644 0.000
```


Entry 3:
TcBrCl after structural relaxation. Source: the Alexandria database, functional PBE.

Computed properties:
* volume: 91 Å³ per cell
* ΔE_f (raw): 0.06 eV/atom
* calculated total energy: -4.567 eV per atom

```
3
Lattice="-6.380 -3.907 3.544 -6.223 -4.427 -0.391 1.102 -2.454 2.922" Properties=species:S:1:pos:R:3 pbc="T T T"
Tc -8.082 -6.395 3.077
Br 0.492 -2.716 2.932
Cl -2.808 -4.132 2.988
```


Entry 4:
YCdTe2I after structural relaxation. Source: the Alexandria database, functional PBE.

Computed properties:
* volume: 209 Å³ per cell
* ΔE_f (raw): -0.40 eV/atom
* calculated total energy: -3.441 eV per atom

```
5
Lattice="5.935 0.000 0.000 0.000 5.935 0.000 0.000 0.000 5.926" Properties=species:S:1:pos:R:3 pbc="T T T"
I 0.000 0.000 2.963
Y 0.000 0.000 0.000
Te 0.000 2.968 0.000
Te 2.968 0.000 0.000
Cd 2.968 2.968 2.963
```


Entry 5:
LaNd4P5 after structural relaxation. Source: the Alexandria database, functional PBE.

Computed properties:
* volume: 260 Å³ per cell
* calculated formation energy: -15.44 eV/f.u.
* calculated total energy: -6.649 eV per atom

```
10
Lattice="4.088 0.000 0.934 1.725 6.794 1.863 0.011 0.005 9.368" Properties=species:S:1:pos:R:3 pbc="T T T"
La 0.000 0.000 0.000
Nd 2.805 1.371 6.550
Nd 1.507 2.706 2.817
Nd 4.316 4.093 9.348
Nd 3.019 5.428 5.614
P 2.382 6.123 8.401
P 3.441 0.676 3.764
P 2.164 2.074 9.357
P 0.868 3.400 5.615
P 3.660 4.725 2.807
```


Entry 6:
NdY3Ga after structural relaxation. Source: the Alexandria database, functional PBE.

Computed properties:
* volume: 321 Å³ per cell
* calculated formation energy: -0.45 eV/f.u.
* calculated total energy: -5.527 eV per atom

```
10
Lattice="7.523 -0.030 -0.287 -2.087 7.228 0.287 -3.249 -3.198 5.937" Properties=species:S:1:pos:R:3 pbc="T T T"
Nd 2.660 -2.009 4.394
Nd -0.474 6.009 1.543
Y 5.431 -0.623 1.326
Y -0.002 2.175 1.614
Y 2.189 1.825 4.324
Y 3.972 2.652 0.935
Y -3.244 4.624 4.611
Y -1.786 1.348 5.002
Ga 1.953 4.177 2.278
Ga 0.234 -0.177 3.660
```


Entry 7:
Li4TmTl2 after structural relaxation. Source: the Alexandria database, functional PBE.

Computed properties:
* volume: 145 Å³ per cell
* calculated formation energy: -0.49 eV/f.u.
* calculated total energy: -2.479 eV per atom

```
7
Lattice="3.695 0.000 -0.926 -0.232 3.688 -0.926 0.619 0.660 10.305" Properties=species:S:1:pos:R:3 pbc="T T T"
Li 0.708 0.754 2.826
Li 3.374 3.593 5.627
Li 3.023 1.252 4.226
Li 1.059 3.096 4.226
Tm 0.000 0.000 0.000
Tl 2.225 2.370 1.043
Tl 1.857 1.978 7.410
```


Entry 8:
TbSm2Dy6Tm3 after structural relaxation. Source: the Alexandria database, functional PBE.

Computed properties:
* volume: 377 Å³ per cell
* calculated formation energy: 0.23 eV/f.u.
* calculated total energy: -4.572 eV per atom

```
12
Lattice="6.136 0.002 0.010 -3.065 5.315 0.010 -1.037 -1.796 11.552" Properties=species:S:1:pos:R:3 pbc="T T T"
Tb 0.000 0.000 0.000
Sm 0.002 3.544 0.010
Sm 3.069 1.773 0.010
Dy 3.056 1.754 8.640
Dy 2.047 3.544 2.942
Dy -1.022 1.767 2.932
Dy -0.008 3.524 8.640
Dy -0.013 -0.023 8.630
Dy 2.042 -0.002 2.932
Tm -2.051 3.533 5.786
Tm 4.085 -0.011 5.786
Tm 1.017 1.761 5.786
```


Which value of volume does entry 6 give? 321 Å³ per cell


Which value of calculated total energy does entry 1 give? -1.840 eV per atom


The highest calculated total energy belongs to which entry? PrMg9Cd2